[1]
{
  "formula": "Li2CdW",
  "functional": "PBE",
  "state": "optimized geometry",
  "cell": [[2.605, 0.000, 0.000], [0.000, 4.619, 0.000], [-1.289, 0.000, 5.580]],
  "species": ["Li", "Li", "Cd", "W"],
  "frac_coords": [[0.000, 0.000, 0.000], [0.098, 0.500, 0.232], [0.354, 0.500, 0.730], [0.728, 0.000, 0.483]],
  "relative_energy_ev_per_atom": 0.2144,
  "formation_enthalpy_0k_ev_per_atom": 0.44
}



[2]
{
  "formula": "LiCdW2",
  "functional": "PBE",
  "state": "optimized geometry",
  "cell": [[2.807, 0.000, 0.000], [-1.403, 2.431, 0.000], [0.000, 0.000, 30.106]],
  "species": ["Li", "Li", "Li", "Cd", "Cd", "Cd", "W", "W", "W", "W", "W", "W"],
  "frac_coords": [[0.000, 0.000, 0.000], [0.333, 0.667, 0.667], [0.667, 0.333, 0.333], [0.000, 0.000, 0.500], [0.333, 0.667, 0.167], [0.667, 0.333, 0.833], [0.000, 0.000, 0.251], [0.000, 0.000, 0.749], [0.333, 0.667, 0.416], [0.333, 0.667, 0.918], [0.667, 0.333, 0.082], [0.667, 0.333, 0.584]],
  "relative_energy_ev_per_atom": 0.4038,
  "formation_enthalpy_0k_ev_per_atom": 0.68
}



[3]
{
  "formula": "LiCd2W",
  "functional": "PBE",
  "state": "optimized geometry",
  "cell": [[4.083, 0.000, 0.000], [0.000, 4.083, 0.000], [0.000, 0.000, 8.675]],
  "species": ["Li", "Li", "Cd", "Cd", "Cd", "Cd", "W", "W"],
  "frac_coords": [[0.000, 0.000, 0.000], [0.500, 0.500, 0.500], [0.000, 0.000, 0.500], [0.000, 0.500, 0.250], [0.500, 0.000, 0.750], [0.500, 0.500, 0.000], [0.000, 0.500, 0.750], [0.500, 0.000, 0.250]],
  "relative_energy_ev_per_atom": 0.4612,
  "formation_enthalpy_0k_ev_per_atom": 0.71
}



[4]
{
  "formula": "LiCd2W",
  "functional": "PBE",
  "state": "optimized geometry",
  "cell": [[6.205, 0.000, 0.000], [0.000, 8.368, 0.000], [0.000, 0.000, 2.774]],
  "species": ["Li", "Li", "Cd", "Cd", "Cd", "Cd", "W", "W"],
  "frac_coords": [[0.000, 0.000, 0.000], [0.500, 0.500, 0.000], [0.250, 0.250, 0.500], [0.250, 0.750, 0.500], [0.750, 0.250, 0.500], [0.750, 0.750, 0.500], [0.000, 0.500, 0.000], [0.500, 0.000, 0.000]],
  "relative_energy_ev_per_atom": 0.0752,
  "formation_enthalpy_0k_ev_per_atom": 0.33
}



[5]
{
  "formula": "LiCdW2",
  "functional": "PBE",
  "state": "optimized geometry",
  "cell": [[3.311, 0.000, 0.000], [0.000, 4.742, 0.000], [0.000, 0.000, 8.486]],
  "species": ["Li", "Li", "Cd", "Cd", "W", "W", "W", "W"],
  "frac_coords": [[0.000, 0.000, 0.000], [0.500, 0.500, 0.500], [0.000, 0.500, 0.267], [0.500, 0.000, 0.767], [0.000, 0.000, 0.483], [0.000, 0.500, 0.759], [0.500, 0.000, 0.259], [0.500, 0.500, 0.983]],
  "relative_energy_ev_per_atom": 0.3357,
  "formation_enthalpy_0k_ev_per_atom": 0.61
}



[6]
{
  "formula": "LiCd2W",
  "functional": "PBE",
  "state": "optimized geometry",
  "cell": [[10.972, 0.000, 0.000], [0.000, 2.736, 0.000], [-2.077, 0.000, 4.857]],
  "species": ["Li", "Li", "Cd", "Cd", "Cd", "Cd", "W", "W"],
  "frac_coords": [[0.000, 0.000, 0.000], [0.500, 0.500, 0.000], [0.247, 0.000, 0.936], [0.496, 0.000, 0.486], [0.747, 0.500, 0.936], [0.996, 0.500, 0.486], [0.251, 0.500, 0.440], [0.751, 0.000, 0.440]],
  "relative_energy_ev_per_atom": 0.1356,
  "formation_enthalpy_0k_ev_per_atom": 0.39
}



[7]
{
  "formula": "LiCdW2",
  "functional": "PBE",
  "state": "optimized geometry",
  "cell": [[2.708, 0.000, 0.000], [0.000, 2.708, 0.000], [0.000, 0.000, 9.158]],
  "species": ["Li", "Cd", "W", "W"],
  "frac_coords": [[0.000, 0.000, 0.000], [0.500, 0.500, 0.757], [0.000, 0.000, 0.494], [0.500, 0.500, 0.244]],
  "relative_energy_ev_per_atom": 0.1638,
  "formation_enthalpy_0k_ev_per_atom": 0.44
}



[8]
{
  "formula": "LiCdW2",
  "functional": "PBE",
  "state": "optimized geometry",
  "cell": [[3.701, 0.000, 0.000], [0.000, 3.701, 0.000], [0.000, 0.000, 20.700]],
  "species": ["Li", "Li", "Li", "Li", "Cd", "Cd", "Cd", "Cd", "W", "W", "W", "W", "W", "W", "W", "W"],
  "frac_coords": [[0.000, 0.000, 0.000], [0.000, 0.500, 0.250], [0.500, 0.000, 0.750], [0.500, 0.500, 0.500], [0.000, 0.000, 0.500], [0.000, 0.500, 0.750], [0.500, 0.000, 0.250], [0.500, 0.500, 0.000], [0.247, 0.250, 0.125], [0.250, 0.747, 0.375], [0.250, 0.753, 0.875], [0.253, 0.250, 0.625], [0.747, 0.750, 0.625], [0.750, 0.247, 0.875], [0.750, 0.253, 0.375], [0.753, 0.750, 0.125]],
  "relative_energy_ev_per_atom": 0.5592,
  "formation_enthalpy_0k_ev_per_atom": 0.84
}



[9]
{
  "formula": "Li2Cd2W",
  "functional": "PBE",
  "state": "optimized geometry",
  "cell": [[7.685, 0.000, 0.000], [0.000, 7.685, 0.000], [0.000, 0.000, 2.751]],
  "species": ["Li", "Li", "Li", "Li", "Cd", "Cd", "Cd", "Cd", "W", "W"],
  "frac_coords": [[0.122, 0.378, 0.000], [0.378, 0.878, 0.000], [0.622, 0.122, 0.000], [0.878, 0.622, 0.000], [0.178, 0.678, 0.500], [0.322, 0.178, 0.500], [0.678, 0.822, 0.500], [0.822, 0.322, 0.500], [0.000, 0.000, 0.000], [0.500, 0.500, 0.000]],
  "relative_energy_ev_per_atom": 0.0000,
  "formation_enthalpy_0k_ev_per_atom": 0.34
}



[10]
{
  "formula": "Li2CdW",
  "functional": "PBE",
  "state": "optimized geometry",
  "cell": [[3.109, 0.000, 0.000], [0.000, 4.515, 0.000], [0.000, 0.000, 9.940]],
  "species": ["Li", "Li", "Li", "Li", "Cd", "Cd", "W", "W"],
  "frac_coords": [[0.000, 0.000, 0.000], [0.000, 0.500, 0.260], [0.500, 0.000, 0.260], [0.500, 0.500, 0.000], [0.000, 0.000, 0.504], [0.500, 0.500, 0.504], [0.000, 0.500, 0.764], [0.500, 0.000, 0.764]],
  "relative_energy_ev_per_atom": 0.0845,
  "formation_enthalpy_0k_ev_per_atom": 0.31
}



[11]
{
  "formula": "LiCdW2",
  "functional": "PBE",
  "state": "optimized geometry",
  "cell": [[2.693, 0.000, 0.000], [0.000, 4.349, 0.000], [-1.102, 0.000, 5.730]],
  "species": ["Li", "Cd", "W", "W"],
  "frac_coords": [[0.000, 0.000, 0.000], [0.234, 0.500, 0.776], [0.584, 0.000, 0.469], [0.832, 0.500, 0.264]],
  "relative_energy_ev_per_atom": 0.1072,
  "formation_enthalpy_0k_ev_per_atom": 0.39
}



[12]
{
  "formula": "LiCd2W",
  "functional": "PBE",
  "state": "optimized geometry",
  "cell": [[2.836, 0.000, 0.000], [0.000, 5.041, 0.000], [0.000, 0.000, 5.095]],
  "species": ["Li", "Cd", "Cd", "W"],
  "frac_coords": [[0.000, 0.000, 0.000], [0.000, 0.500, 0.500], [0.500, 0.500, 0.000], [0.500, 0.000, 0.500]],
  "relative_energy_ev_per_atom": 0.3969,
  "formation_enthalpy_0k_ev_per_atom": 0.65
}



What is the formula in the tenth record?
Li2CdW